Entry 1:
# Rb2CaReF6 GGA-PBE optimized geometry
data_Rb2CaReF6
_chemical_formula_sum 'Rb8 Ca4 Re4 F24'
_space_group_name_H-M_alt 'F m -3 m'
_space_group_IT_number 225
_space_group_name_Hall '-F 4 2 3'
_cell_length_a 8.8145
_cell_length_b 8.8145
_cell_length_c 8.8145
_cell_angle_alpha 90.00
_cell_angle_beta 90.00
_cell_angle_gamma 90.00
loop_
_atom_site_label
_atom_site_fract_x
_atom_site_fract_y
_atom_site_fract_z
Rb1 0.2500 0.2500 0.2500
Ca1 0.0000 0.0000 0.0000
Re1 0.0000 0.0000 0.5000
F1 0.0000 0.0000 0.2543
# density: 4.96 g cm⁻³
# Fermi-level density of states: 61.729 states/eV/cell
# crystal system: cubic

Entry 2:
# Rb2CaRh3F12 GGA-PBE optimized geometry
data_Rb2CaRh3F12
_chemical_formula_sum 'Rb6 Ca3 Rh9 F36'
_space_group_name_H-M_alt 'R -3 m'
_space_group_IT_number 166
_space_group_name_Hall '-R 3 2"'
_cell_length_a 7.6607
_cell_length_b 7.6607
_cell_length_c 18.5052
_cell_angle_alpha 90.00
_cell_angle_beta 90.00
_cell_angle_gamma 120.00
loop_
_atom_site_label
_atom_site_fract_x
_atom_site_fract_y
_atom_site_fract_z
Rb1 0.0000 0.0000 0.1255
Ca1 0.0000 0.0000 0.5000
Rh1 0.0000 0.5000 0.0000
F1 0.0326 0.5163 0.1086
F2 0.0612 0.5306 0.3491
# density: 3.96 g cm⁻³
# Fermi-level density of states: 14.923 states/eV/cell
# crystal system: trigonal

Entry 3:
# RbCaRhF6 GGA-PBE optimized geometry
data_RbCaRhF6
_chemical_formula_sum 'Rb4 Ca4 Rh4 F24'
_space_group_name_H-M_alt 'I m m a'
_space_group_IT_number 74
_space_group_name_Hall '-I 2b 2'
_cell_length_a 7.6230
_cell_length_b 7.8749
_cell_length_c 11.0499
_cell_angle_alpha 90.00
_cell_angle_beta 90.00
_cell_angle_gamma 90.00
loop_
_atom_site_label
_atom_site_fract_x
_atom_site_fract_y
_atom_site_fract_z
Rb1 0.0000 0.2500 0.1390
Ca1 0.0000 0.0000 0.5000
Rh1 0.2500 0.2500 0.7500
F1 0.0000 0.2500 0.4044
F2 0.0000 0.2500 0.8092
F3 0.2231 0.0646 0.6270
# density: 3.43 g cm⁻³
# crystal system: orthorhombic

Entry 4:
# Rb2CaRhF6 GGA-PBE optimized geometry
data_Rb2CaRhF6
_chemical_formula_sum 'Rb4 Ca2 Rh2 F12'
_space_group_name_H-M_alt 'I 4/m m m'
_space_group_IT_number 139
_space_group_name_Hall '-I 4 2'
_cell_length_a 6.3426
_cell_length_b 6.3426
_cell_length_c 8.5974
_cell_angle_alpha 90.00
_cell_angle_beta 90.00
_cell_angle_gamma 90.00
loop_
_atom_site_label
_atom_site_fract_x
_atom_site_fract_y
_atom_site_fract_z
Rb1 0.0000 0.5000 0.2500
Ca1 0.0000 0.0000 0.0000
Rh1 0.0000 0.0000 0.5000
F1 0.0000 0.0000 0.2629
F2 0.2492 0.2492 0.0000
# density: 4.11 g cm⁻³
# Fermi-level density of states: 0.000 states/eV/cell
# crystal system: tetragonal

| no. | uncorrected formation energy (eV/atom) |
| --- | --- |
| 1 | -2.3831 |
| 2 | -2.1806 |
| 3 | -2.6278 |
| 4 | -2.6134 |